[1]
GdTmScRh | Alexandria | GGA-PBE | optimized geometry; total energy = -8.271 eV per atom; M_tot = 7.2 μB/f.u.; ΔE_f = -0.21 eV/atom
1.0
5.0544 0.0000 0.0000
2.5272 4.3773 0.0000
2.5272 1.4591 4.1269
Gd Tm Rh Sc
1 1 1 1
Direct
0.2500 0.2500 0.2500
0.7500 0.7500 0.7500
0.5000 0.5000 0.5000
0.0000 0.0000 0.0000

=====

[2]
GdYScRh | Alexandria | GGA-PBE | optimized geometry; total energy = -8.736 eV per atom; M_tot = 7.2 μB/f.u.; ΔE_f = -0.18 eV/atom
1.0
5.0954 0.0000 0.0000
2.5477 4.4127 0.0000
2.5477 1.4709 4.1604
Rh Sc Gd Y
1 1 1 1
Direct
0.2500 0.2500 0.2500
0.7500 0.7500 0.7500
0.0000 0.0000 0.0000
0.5000 0.5000 0.5000

=====

[3]
GdScZnRh | Alexandria | GGA-PBE | optimized geometry; total energy = -7.837 eV per atom; M_tot = 7.1 μB/f.u.; ΔE_f = -0.58 eV/atom
1.0
-0.4649 2.2749 4.2315
0.6616 -2.4173 4.1250
3.8966 0.8739 2.7110
Sc Zn Rh Gd
1 1 1 1
Direct
0.2500 0.2500 0.2500
0.0000 0.0000 0.0000
0.5000 0.5000 0.5000
0.7500 0.7500 0.7500

=====

[4]
GdSiRh2 | Alexandria | GGA-PBE | optimized geometry; total energy = -9.396 eV per atom; formation energy from raw total energies = -0.844 eV per atom; M_tot = 7.1 μB/f.u.
1.0
4.1305 0.0000 0.0000
2.0652 3.5771 0.0000
2.0652 1.1924 4.9001
Rh Si Gd
2 1 1
Direct
0.2120 0.2120 0.3641
0.7880 0.7880 0.6359
0.5000 0.5000 0.5000
0.0000 0.0000 0.0000

=====

[5]
GdSi2Rh | Alexandria | GGA-PBE | optimized geometry; total energy = -8.973 eV per atom; formation energy from raw total energies = -0.903 eV per atom; M_tot = 7.0 μB/f.u.
1.0
4.0795 0.0000 0.0000
2.0398 3.5330 0.0000
2.0398 1.1777 4.9771
Rh Si Gd
1 2 1
Direct
0.5000 0.5000 0.5000
0.7882 0.7882 0.6355
0.2118 0.2118 0.3645
0.0000 0.0000 0.0000

=====

[6]
GdYSiRh | Alexandria | GGA-PBE | optimized geometry; total energy = -8.978 eV per atom; formation energy from raw total energies = -0.648 eV per atom; M_tot = 7.0 μB/f.u.
1.0
4.9480 0.0000 0.0000
2.4740 4.2851 0.0000
2.4740 1.4284 4.0400
Rh Gd Y Si
1 1 1 1
Direct
0.2500 0.2500 0.2500
0.5000 0.5000 0.5000
0.0000 0.0000 0.0000
0.7500 0.7500 0.7500

=====

[7]
SmGdRh | Alexandria | GGA-PBE | optimized geometry; total energy = -9.236 eV per atom; energy above the most stable polymorph in this dataset = 0.0 meV/atom; M_tot = 7.3 μB/f.u.; ΔE_f = -0.52 eV/atom
1.0
-3.4761 3.0473 1.5324
-1.0666 0.2898 4.7430
1.1978 3.9877 2.5259
Sm Gd Rh
1 1 1
Direct
0.5000 0.5000 0.5000
0.0000 0.0000 0.0000
0.2500 0.2500 0.2500

=====

[8]
SmGdRh | Alexandria | GGA-PBE | optimized geometry; total energy = -9.099 eV per atom; energy above the most stable polymorph in this dataset = 137.1 meV/atom; M_tot = 7.2 μB/f.u.; ΔE_f = -0.38 eV/atom
1.0
4.2616 0.0000 0.0000
0.0000 4.5602 0.0000
0.0000 -2.2801 3.9492
Gd Sm Rh
1 1 1
Direct
0.7364 0.6667 0.3333
0.2730 0.3333 0.6667
0.9906 0.0000 0.0000

=====

[9]
SmGdRh2 | Alexandria | GGA-PBE | optimized geometry; total energy = -9.133 eV per atom; energy above the most stable polymorph in this dataset = 0.0 meV/atom; M_tot = 7.0 μB/f.u.; ΔE_f = -0.76 eV/atom
1.0
4.9209 0.0000 0.0000
2.4605 4.2616 0.0000
2.4605 1.4205 4.0177
Gd Sm Rh
1 1 2
Direct
0.5000 0.5000 0.5000
0.0000 0.0000 0.0000
0.2501 0.2501 0.2498
0.7499 0.7499 0.7502

=====

[10]
SmGdRh | Alexandria | GGA-PBE | optimized geometry; total energy = -9.206 eV per atom; energy above the most stable polymorph in this dataset = 29.5 meV/atom; M_tot = 7.4 μB/f.u.; ΔE_f = -0.49 eV/atom
1.0
3.5158 0.0000 0.0000
0.0000 3.5158 0.0000
-1.7579 -1.7579 6.3979
Sm Gd Rh
1 1 1
Direct
0.2967 0.2967 0.5935
0.0381 0.0381 0.0763
0.6651 0.6651 0.3303

=====

[11]
SmGdRh2 | Alexandria | GGA-PBE | optimized geometry; total energy = -9.128 eV per atom; energy above the most stable polymorph in this dataset = 4.8 meV/atom; M_tot = 7.0 μB/f.u.; ΔE_f = -0.75 eV/atom
1.0
3.4095 0.0000 0.0000
0.0000 4.9712 0.0000
0.0000 0.0000 4.9712
Rh Gd Sm
2 1 1
Direct
0.0000 0.0000 0.5000
0.0000 0.5000 0.0000
0.5000 0.5000 0.5000
0.5000 0.0000 0.0000

=====

[12]
SmGdTlRh | Alexandria | GGA-PBE | optimized geometry; total energy = -7.574 eV per atom; M_tot = 7.1 μB/f.u.; ΔE_f = -0.44 eV/atom
1.0
5.1954 0.0000 0.0000
2.5977 4.4994 0.0000
2.5977 1.4998 4.2420
Rh Sm Gd Tl
1 1 1 1
Direct
0.0000 0.0000 0.0000
0.7500 0.7500 0.7500
0.2500 0.2500 0.2500
0.5000 0.5000 0.5000

=====

[13]
GdSn2Rh | Alexandria | GGA-PBE | optimized geometry; total energy = -7.445 eV per atom; M_tot = 7.7 μB/f.u.; ΔE_f = -0.09 eV/atom
1.0
3.3388 0.0000 0.0000
1.6694 2.8915 0.0000
1.6694 0.9638 10.2647
Rh Sn Gd
1 2 1
Direct
0.5000 0.5000 0.5000
0.8973 0.8973 0.3082
0.1027 0.1027 0.6918
0.0000 0.0000 0.0000

=====

[14]
GdSnRh2 | Alexandria | GGA-PBE | optimized geometry; total energy = -8.822 eV per atom; energy above the most stable polymorph in this dataset = 117.8 meV/atom; M_tot = 7.1 μB/f.u.; ΔE_f = -0.63 eV/atom
1.0
-2.6172 1.2997 -1.8353
-2.1111 -2.3904 1.3178
-1.4312 3.9193 4.8165
Rh Sn Gd
2 1 1
Direct
0.0000 0.0000 0.2718
0.0000 0.0000 0.7282
0.5000 0.5000 0.5000
0.5000 0.5000 0.0000

=====

[15]
GdSnRh2 | Alexandria | GGA-PBE | optimized geometry; total energy = -8.918 eV per atom; energy above the most stable polymorph in this dataset = 21.8 meV/atom; M_tot = 7.1 μB/f.u.; ΔE_f = -0.72 eV/atom
1.0
-3.2960 -0.4656 1.3024
0.3100 -4.4958 -0.8227
1.7452 -0.6456 4.1860
Rh Sn Gd
2 1 1
Direct
0.0000 0.5000 0.0000
0.0000 0.0000 0.5000
0.5000 0.0000 0.0000
0.5000 0.5000 0.5000

=====

[16]
Gd3SnRh | Alexandria | GGA-PBE | optimized geometry; total energy = -11.200 eV per atom; M_tot = 21.8 μB/f.u.; ΔE_f = -0.48 eV/atom
1.0
5.3347 0.0000 0.0000
0.0000 5.3347 0.0000
0.0000 0.0000 5.3347
Gd Sn Rh
3 1 1
Direct
0.5000 0.0000 0.0000
0.0000 0.0000 0.5000
0.0000 0.5000 0.0000
0.5000 0.5000 0.5000
0.0000 0.0000 0.0000